[1]
The following is a GGA-PBE calculation of a relaxed structure of AgPb2, from Alexandria.

Structure (extended XYZ):
```
6
Lattice="-5.439 1.047 3.143 -4.687 3.311 -2.762 -5.344 -2.952 -1.813" Properties=species:S:1:pos:R:3 pbc="T T T"
Pb -4.277 1.831 -1.560
Pb -1.934 0.176 -0.179
Pb -4.606 -1.300 -1.085
Pb -4.653 0.699 1.392
Ag -11.603 1.055 -1.074
Ag -7.735 0.703 -0.716
```

Computed properties:
calculated formation energy	0.406	eV per atom
space-group type	Fd-3m (227)

---

[2]
The following is a GGA-PBE calculation of a relaxed structure of Ac3AlSn3, from Alexandria.

Structure (extended XYZ):
```
14
Lattice="6.814 0.000 0.000 0.000 9.687 0.000 0.000 -4.843 8.389" Properties=species:S:1:pos:R:3 pbc="T T T"
Ac 5.110 3.690 5.232
Ac 5.110 3.310 0.580
Ac 5.110 7.529 2.577
Ac 1.703 1.153 3.157
Ac 1.703 -2.686 5.812
Ac 1.703 1.533 7.809
Sn 5.110 1.101 3.094
Sn 1.703 3.742 5.295
Sn 5.110 1.614 7.796
Sn 1.703 7.558 2.501
Sn 1.703 3.230 0.593
Sn 5.110 -2.715 5.888
Al 5.110 0.000 5.593
Al 1.703 4.843 2.796
```

Computed properties:
calculated formation energy	-0.432	eV per atom
energy above the most stable polymorph in this dataset	186	meV per atom
space-group type	P6_3/m (176)

---

[3]
The following is a GGA-PBE calculation of a relaxed structure of SrIrF6, from Alexandria.

Structure (extended XYZ):
```
8
Lattice="-4.705 -0.498 1.116 0.870 -4.659 -1.079 0.516 -1.716 4.566" Properties=species:S:1:pos:R:3 pbc="T T T"
Sr -1.660 -3.437 2.301
F -3.120 -1.187 2.053
F -0.199 -5.687 2.549
F -1.094 -1.609 0.272
F 0.434 -3.840 0.654
F -3.753 -3.034 3.948
F -2.225 -5.265 4.330
Ir 0.000 0.000 0.000
```

Computed properties:
ΔE_f (raw)	-1856	kJ/mol of formula units
space-group type	C2/m (12)

---

[4]
The following is a GGA-PBE calculation of a relaxed structure of Li2URe3N6, from Alexandria.

Structure (extended XYZ):
```
12
Lattice="-2.356 3.941 2.481 -2.642 -4.338 -1.200 2.953 -1.976 4.216" Properties=species:S:1:pos:R:3 pbc="T T T"
Li -2.452 1.180 1.253
Li -2.547 -1.577 0.028
N -0.591 -1.985 0.758
N -1.552 -3.172 3.501
N -3.012 -0.848 2.141
N -0.494 0.799 1.996
N 0.966 -1.525 3.356
N -1.456 -0.387 4.739
U 0.000 0.000 0.000
Re -0.933 1.434 3.913
Re -1.023 -1.186 2.748
Re -1.114 -3.807 1.583
```

Computed properties:
ΔE_f (raw)	-530	kJ/mol of formula units
space-group type	C2/m (12)

---

[5]
The following is a GGA-PBE calculation of a relaxed structure of Ac8Pm3Y2, from Alexandria.

Structure (extended XYZ):
```
13
Lattice="-0.731 0.079 6.751 7.394 2.277 0.774 0.555 10.884 1.737" Properties=species:S:1:pos:R:3 pbc="T T T"
Pm 1.134 0.501 3.533
Pm 6.084 12.738 5.729
Pm 0.000 0.000 0.000
Ac 3.961 11.105 7.602
Ac 3.257 8.440 3.447
Ac 6.225 5.419 2.706
Ac 6.802 9.531 3.818
Ac 0.417 3.709 5.444
Ac 0.994 7.821 6.555
Ac 3.962 4.800 5.815
Ac 3.257 2.135 1.659
Y 4.970 8.048 6.962
Y 2.249 5.192 2.300
```

Computed properties:
calculated formation energy	0.214	eV per atom
space-group type	C2/m (12)

---

[6]
The following is a GGA-PBE calculation of a relaxed structure of YPuAgPt, from Alexandria.

Structure (extended XYZ):
```
4
Lattice="5.056 0.000 0.000 2.528 4.378 0.000 2.528 1.459 4.128" Properties=species:S:1:pos:R:3 pbc="T T T"
Pt 2.528 1.459 1.032
Pu 5.056 2.919 2.064
Y 0.000 0.000 0.000
Ag 7.583 4.378 3.096
```

Computed properties:
calculated formation energy	-0.507	eV per atom
space-group type	F-43m (216)

---

Values of ρ, in order: 9.5, 6.4, 5.8, 12.0, 7.5, 11.6, all in g/cm3.